# 1
# K3Al GGA-PBEsol optimized geometry
# Formation energy from the elements: 30.4 kJ per mole of atoms
# Polymorph energy (0 for the lowest one): 0.000 eV/atom
data_K3Al
_chemical_formula_sum 'K6 Al2'
_space_group_name_H-M_alt 'P 63/m m c'
_space_group_IT_number 194
_space_group_name_Hall '-P 6c 2c'
_cell_length_a 8.0310
_cell_length_b 8.0310
_cell_length_c 6.4376
_cell_angle_alpha 90.00
_cell_angle_beta 90.00
_cell_angle_gamma 120.00
loop_
_atom_site_label
_atom_site_type_symbol
_atom_site_fract_x
_atom_site_fract_y
_atom_site_fract_z
_atom_site_occupancy
K1 K 0.1794 0.3588 0.2500 1
Al1 Al 0.3333 0.6667 0.7500 1

# 2
# K3Al GGA-PBEsol optimized geometry
# Formation energy from the elements: 30.8 kJ per mole of atoms
# Polymorph energy (0 for the lowest one): 0.004 eV/atom
data_K3Al
_chemical_formula_sum 'K6 Al2'
_space_group_name_H-M_alt 'I 4/m m m'
_space_group_IT_number 139
_space_group_name_Hall '-I 4 2'
_cell_length_a 5.6324
_cell_length_b 5.6324
_cell_length_c 11.0014
_cell_angle_alpha 90.00
_cell_angle_beta 90.00
_cell_angle_gamma 90.00
loop_
_atom_site_label
_atom_site_type_symbol
_atom_site_fract_x
_atom_site_fract_y
_atom_site_fract_z
_atom_site_occupancy
K1 K 0.0000 0.0000 0.0000 1
K2 K 0.0000 0.5000 0.2500 1
Al1 Al 0.0000 0.0000 0.5000 1

# 3
# KAl2 GGA-PBEsol optimized geometry
# Formation energy from the elements: 74.7 kJ per mole of atoms
data_KAl2
_chemical_formula_sum 'K4 Al8'
_space_group_name_H-M_alt 'I 4/m c m'
_space_group_IT_number 140
_space_group_name_Hall '-I 4 2c'
_cell_length_a 7.8171
_cell_length_b 7.8171
_cell_length_c 5.6193
_cell_angle_alpha 90.00
_cell_angle_beta 90.00
_cell_angle_gamma 90.00
loop_
_atom_site_label
_atom_site_type_symbol
_atom_site_fract_x
_atom_site_fract_y
_atom_site_fract_z
_atom_site_occupancy
K1 K 0.0000 0.0000 0.2500 1
Al1 Al 0.1169 0.3831 0.0000 1

# 4
# K3Al GGA-PBEsol optimized geometry
# Formation energy from the elements: 31.4 kJ per mole of atoms
# Polymorph energy (0 for the lowest one): 0.010 eV/atom
data_K3Al
_chemical_formula_sum 'K6 Al2'
_space_group_name_H-M_alt 'P m -3 n'
_space_group_IT_number 223
_space_group_name_Hall '-P 4n 2 3'
_cell_length_a 7.0553
_cell_length_b 7.0553
_cell_length_c 7.0553
_cell_angle_alpha 90.00
_cell_angle_beta 90.00
_cell_angle_gamma 90.00
loop_
_atom_site_label
_atom_site_type_symbol
_atom_site_fract_x
_atom_site_fract_y
_atom_site_fract_z
_atom_site_occupancy
K1 K 0.0000 0.2500 0.5000 1
Al1 Al 0.0000 0.0000 0.0000 1

# 5
# KLaAl2 GGA-PBEsol optimized geometry
# Formation energy from the elements: 8.1 kJ per mole of atoms
data_KLaAl2
_chemical_formula_sum 'K1 La1 Al2'
_space_group_name_H-M_alt 'P 4/m m m'
_space_group_IT_number 123
_space_group_name_Hall '-P 4 2'
_cell_length_a 3.8684
_cell_length_b 3.8684
_cell_length_c 8.0901
_cell_angle_alpha 90.00
_cell_angle_beta 90.00
_cell_angle_gamma 90.00
loop_
_atom_site_label
_atom_site_type_symbol
_atom_site_fract_x
_atom_site_fract_y
_atom_site_fract_z
_atom_site_occupancy
K1 K 0.0000 0.0000 0.0000 1
La1 La 0.0000 0.0000 0.5000 1
Al1 Al 0.5000 0.5000 0.3001 1

# 6
# KLa3Al GGA-PBEsol optimized geometry
# Formation energy from the elements: 37.7 kJ per mole of atoms
data_KLa3Al
_chemical_formula_sum 'K1 La3 Al1'
_space_group_name_H-M_alt 'P m -3 m'
_space_group_IT_number 221
_space_group_name_Hall '-P 4 2 3'
_cell_length_a 5.9465
_cell_length_b 5.9465
_cell_length_c 5.9465
_cell_angle_alpha 90.00
_cell_angle_beta 90.00
_cell_angle_gamma 90.00
loop_
_atom_site_label
_atom_site_type_symbol
_atom_site_fract_x
_atom_site_fract_y
_atom_site_fract_z
_atom_site_occupancy
K1 K 0.0000 0.0000 0.0000 1
La1 La 0.0000 0.5000 0.5000 1
Al1 Al 0.5000 0.5000 0.5000 1

# 7
# KLaAl3 GGA-PBEsol optimized geometry
# Formation energy from the elements: 97.4 kJ per mole of atoms
data_KLaAl3
_chemical_formula_sum 'K1 La1 Al3'
_space_group_name_H-M_alt 'P m -3 m'
_space_group_IT_number 221
_space_group_name_Hall '-P 4 2 3'
_cell_length_a 5.2321
_cell_length_b 5.2321
_cell_length_c 5.2321
_cell_angle_alpha 90.00
_cell_angle_beta 90.00
_cell_angle_gamma 90.00
loop_
_atom_site_label
_atom_site_type_symbol
_atom_site_fract_x
_atom_site_fract_y
_atom_site_fract_z
_atom_site_occupancy
K1 K 0.0000 0.0000 0.0000 1
La1 La 0.5000 0.5000 0.5000 1
Al1 Al 0.0000 0.0000 0.5000 1

# 8
# KLa2AlS GGA-PBEsol optimized geometry
# Uncorrected formation energy: 0.73 eV per atom
data_KLa2AlS
_chemical_formula_sum 'K1 La2 Al1 S1'
_space_group_name_H-M_alt 'P 4/m m m'
_space_group_IT_number 123
_space_group_name_Hall '-P 4 2'
_cell_length_a 5.4619
_cell_length_b 5.4619
_cell_length_c 5.0637
_cell_angle_alpha 90.00
_cell_angle_beta 90.00
_cell_angle_gamma 90.00
loop_
_atom_site_label
_atom_site_type_symbol
_atom_site_fract_x
_atom_site_fract_y
_atom_site_fract_z
_atom_site_occupancy
K1 K 0.0000 0.0000 0.0000 1
La1 La 0.0000 0.5000 0.0000 1
Al1 Al 0.5000 0.5000 0.5000 1
S1 S 0.0000 0.0000 0.5000 1

# 9
# KLi3Al GGA-PBEsol optimized geometry
# Formation energy from the elements: 16.7 kJ per mole of atoms
# Polymorph energy (0 for the lowest one): 0.000 eV/atom
data_KLi3Al
_chemical_formula_sum 'K1 Li3 Al1'
_space_group_name_H-M_alt 'P m -3 m'
_space_group_IT_number 221
_space_group_name_Hall '-P 4 2 3'
_cell_length_a 5.2859
_cell_length_b 5.2859
_cell_length_c 5.2859
_cell_angle_alpha 90.00
_cell_angle_beta 90.00
_cell_angle_gamma 90.00
loop_
_atom_site_label
_atom_site_type_symbol
_atom_site_fract_x
_atom_site_fract_y
_atom_site_fract_z
_atom_site_occupancy
K1 K 0.0000 0.0000 0.0000 1
Li1 Li 0.0000 0.5000 0.5000 1
Al1 Al 0.5000 0.5000 0.5000 1

# 10
# KLiAl2 GGA-PBEsol optimized geometry
# Formation energy from the elements: 36.0 kJ per mole of atoms
# Polymorph energy (0 for the lowest one): 0.193 eV/atom
data_KLiAl2
_chemical_formula_sum 'K4 Li4 Al8'
_space_group_name_H-M_alt 'I -4 2 d'
_space_group_IT_number 122
_space_group_name_Hall 'I -4 2bw'
_cell_length_a 4.8364
_cell_length_b 4.8364
_cell_length_c 20.5472
_cell_angle_alpha 90.00
_cell_angle_beta 90.00
_cell_angle_gamma 90.00
loop_
_atom_site_label
_atom_site_type_symbol
_atom_site_fract_x
_atom_site_fract_y
_atom_site_fract_z
_atom_site_occupancy
K1 K 0.0000 0.0000 0.0000 1
Li1 Li 0.0000 0.0000 0.5000 1
Al1 Al 0.0780 0.7500 0.6250 1

# 11
# KLi3Al GGA-PBEsol optimized geometry
# Formation energy from the elements: 79.8 kJ per mole of atoms
# Polymorph energy (0 for the lowest one): 0.654 eV/atom
data_KLi3Al
_chemical_formula_sum 'K1 Li3 Al1'
_space_group_name_H-M_alt 'P m -3 m'
_space_group_IT_number 221
_space_group_name_Hall '-P 4 2 3'
_cell_length_a 5.0376
_cell_length_b 5.0376
_cell_length_c 5.0376
_cell_angle_alpha 90.00
_cell_angle_beta 90.00
_cell_angle_gamma 90.00
loop_
_atom_site_label
_atom_site_type_symbol
_atom_site_fract_x
_atom_site_fract_y
_atom_site_fract_z
_atom_site_occupancy
K1 K 0.0000 0.0000 0.0000 1
Li1 Li 0.0000 0.0000 0.5000 1
Al1 Al 0.5000 0.5000 0.5000 1

# 12
# KLiAl2 GGA-PBEsol optimized geometry
# Formation energy from the elements: 36.4 kJ per mole of atoms
# Polymorph energy (0 for the lowest one): 0.197 eV/atom
data_KLiAl2
_chemical_formula_sum 'K2 Li2 Al4'
_space_group_name_H-M_alt 'I 4/m m m'
_space_group_IT_number 139
_space_group_name_Hall '-I 4 2'
_cell_length_a 4.2845
_cell_length_b 4.2845
_cell_length_c 10.3712
_cell_angle_alpha 90.00
_cell_angle_beta 90.00
_cell_angle_gamma 90.00
loop_
_atom_site_label
_atom_site_type_symbol
_atom_site_fract_x
_atom_site_fract_y
_atom_site_fract_z
_atom_site_occupancy
K1 K 0.0000 0.0000 0.0000 1
Li1 Li 0.0000 0.0000 0.5000 1
Al1 Al 0.0000 0.5000 0.2500 1

# 13
# KLiAl2 GGA-PBEsol optimized geometry
# Formation energy from the elements: 17.4 kJ per mole of atoms
# Polymorph energy (0 for the lowest one): 0.000 eV/atom
data_KLiAl2
_chemical_formula_sum 'K1 Li1 Al2'
_space_group_name_H-M_alt 'P 4/m m m'
_space_group_IT_number 123
_space_group_name_Hall '-P 4 2'
_cell_length_a 3.2443
_cell_length_b 3.2443
_cell_length_c 8.4013
_cell_angle_alpha 90.00
_cell_angle_beta 90.00
_cell_angle_gamma 90.00
loop_
_atom_site_label
_atom_site_type_symbol
_atom_site_fract_x
_atom_site_fract_y
_atom_site_fract_z
_atom_site_occupancy
K1 K 0.0000 0.0000 0.0000 1
Li1 Li 0.0000 0.0000 0.5000 1
Al1 Al 0.5000 0.5000 0.3259 1

# 14
# KLiAl2 GGA-PBEsol optimized geometry
# Formation energy from the elements: 43.2 kJ per mole of atoms
# Polymorph energy (0 for the lowest one): 0.267 eV/atom
data_KLiAl2
_chemical_formula_sum 'K4 Li4 Al8'
_space_group_name_H-M_alt 'F m -3 m'
_space_group_IT_number 225
_space_group_name_Hall '-F 4 2 3'
_cell_length_a 7.2417
_cell_length_b 7.2417
_cell_length_c 7.2417
_cell_angle_alpha 90.00
_cell_angle_beta 90.00
_cell_angle_gamma 90.00
loop_
_atom_site_label
_atom_site_type_symbol
_atom_site_fract_x
_atom_site_fract_y
_atom_site_fract_z
_atom_site_occupancy
K1 K 0.0000 0.0000 0.0000 1
Li1 Li 0.0000 0.0000 0.5000 1
Al1 Al 0.2500 0.2500 0.2500 1